No. 1
VASP calculation (PBE-GGA) on crystalline Cs2MgTe2O6 at its relaxed geometry.

As for the volume: 23.341 Å³/atom. Its energy relative to the elements, uncorrected is -1599 kJ/mol of formula units.

Lattice parameters (Å, degrees): 5.796 6.932 9.187 125.75 90.00 114.71
Atoms (fractional coordinates):
Cs: 0.717 0.434 0.305
Cs: 0.283 0.566 0.695
Mg: 0.500 0.000 0.500
Te: 0.039 0.078 0.813
Te: 0.961 0.922 0.187
O: 0.873 0.746 0.771
O: 0.254 0.998 0.344
O: 0.256 0.002 0.656
O: 0.746 0.002 0.656
O: 0.744 0.998 0.344
O: 0.127 0.254 0.229

***

No. 2
VASP calculation (PBE-GGA) on crystalline CsMgTe2O8 at its relaxed geometry.

As for the volume: 19.994 Å³/atom. Its energy relative to the elements, uncorrected is -1343 kJ/mol of formula units.

Lattice parameters (Å, degrees): 5.557 5.557 8.973 90.00 90.00 120.00
Each line ends with the local moment (μB).
Atoms (fractional coordinates):
Cs: 0.000 0.000 0.000  0.00
Mg: 0.000 0.000 0.500  0.00
Te: 0.667 0.333 0.308  -0.02
Te: 0.333 0.667 0.692  -0.02
O: 0.333 0.667 0.898  0.19
O: 0.322 0.277 0.363  0.09
O: 0.723 0.045 0.363  0.09
O: 0.667 0.333 0.102  0.19
O: 0.277 0.955 0.637  0.09
O: 0.678 0.723 0.637  0.09
O: 0.045 0.322 0.637  0.09
O: 0.955 0.678 0.363  0.09

***

No. 3
VASP calculation (PBE-GGA) on crystalline CsMgTeO4 at its relaxed geometry.

As for the volume: 19.676 Å³/atom. Its energy relative to the elements, uncorrected is -1026 kJ/mol of formula units.

Lattice parameters (Å, degrees): 5.827 5.990 9.026 90.00 119.02 90.00
Each line ends with the local moment (μB).
Atoms (fractional coordinates):
Cs: 0.499 0.750 0.866  0.00
Cs: 0.501 0.250 0.134  0.00
Mg: 0.809 0.750 0.473  0.00
Mg: 0.191 0.250 0.527  0.00
Te: 0.214 0.750 0.329  0.12
Te: 0.786 0.250 0.671  0.12
O: 0.991 0.482 0.640  0.14
O: 0.009 0.982 0.360  0.14
O: 0.009 0.518 0.360  0.14
O: 0.991 0.018 0.640  0.14
O: 0.460 0.750 0.232  0.26
O: 0.540 0.250 0.768  0.26
O: 0.509 0.750 0.545  0.00
O: 0.491 0.250 0.455  0.00